# 1
This record from Alexandria via LeMat-Bulk describes a geometry-optimized RbSmHgS3 structure. The functional is GGA-PBE.

Structure (extended XYZ):
```
12
Lattice="8.950 0.000 0.000 0.000 4.209 0.000 -3.032 0.000 9.629" Properties=species:S:1:pos:R:3 pbc="T T T"
Rb 1.188 1.052 2.272
Rb 4.730 3.157 7.358
Sm 0.350 3.157 8.310
Sm 5.569 1.052 1.320
Hg -1.001 1.052 5.927
Hg 6.919 3.157 3.703
S -1.603 1.052 8.365
S 0.351 3.157 5.223
S 3.712 3.157 1.399
S 2.207 1.052 8.231
S 5.567 1.052 4.406
S 7.522 3.157 1.265
```

# 2
This record from Alexandria via LeMat-Bulk describes a geometry-optimized RbSnHgS3 structure. The functional is GGA-PBE.

Structure (extended XYZ):
```
12
Lattice="5.693 -4.292 0.000 5.693 4.292 0.000 -4.284 0.000 7.758" Properties=species:S:1:pos:R:3 pbc="T T T"
Rb 1.283 0.000 1.472
Rb 5.818 0.000 6.286
Sn 1.611 0.000 6.323
Sn 5.489 0.000 1.435
Hg 3.550 2.356 3.879
Hg 3.550 -2.356 3.879
S 4.081 2.027 1.544
S 0.031 0.000 4.545
S 3.019 2.027 6.214
S 4.081 -2.027 1.544
S 7.069 0.000 3.213
S 3.019 -2.027 6.214
```

# 3
This record from Alexandria via LeMat-Bulk describes a geometry-optimized RbSn2HgS6 structure. The functional is GGA-PBE.

Structure (extended XYZ):
```
20
Lattice="6.932 -7.308 0.000 6.932 7.308 0.000 -1.233 0.000 6.410" Properties=species:S:1:pos:R:3 pbc="T T T"
Rb 6.008 5.602 4.807
Rb 6.624 -5.602 1.602
Sn 3.030 1.092 5.335
Sn 3.647 -1.092 2.130
Sn 8.985 1.092 4.280
Sn 9.602 -1.092 1.075
Hg 6.624 2.839 1.602
Hg 6.008 -2.839 4.807
S 0.707 1.316 4.992
S 3.862 3.232 6.240
S 1.323 -1.316 1.787
S 4.415 0.901 3.318
S 8.154 3.232 3.374
S 5.032 -0.901 0.113
S 7.600 0.901 6.297
S 4.478 -3.232 3.035
S 8.216 -0.901 3.092
S 11.309 1.316 4.622
S 8.770 -3.232 0.170
S 11.925 -1.316 1.417
```

# 4
This record from Alexandria via LeMat-Bulk describes a geometry-optimized RbSnHg2S4 structure. The functional is GGA-PBE.

Structure (extended XYZ):
```
8
Lattice="-3.513 3.786 4.411 3.513 -3.786 4.411 3.513 3.786 -4.411" Properties=species:S:1:pos:R:3 pbc="T T T"
Rb 0.000 0.000 0.000
Sn 0.000 0.000 4.411
Hg 3.513 0.000 2.493
Hg 0.000 3.786 1.918
S 1.405 -1.414 2.992
S 2.108 2.372 1.419
S 2.108 5.200 -1.419
S 1.405 1.414 5.830
```

# 5
This record from Alexandria via LeMat-Bulk describes a geometry-optimized Rb2TbHg2S4 structure. The functional is GGA-PBE.

Structure (extended XYZ):
```
9
Lattice="8.164 -2.036 0.000 8.164 2.036 0.000 -3.302 0.000 7.625" Properties=species:S:1:pos:R:3 pbc="T T T"
Rb 1.846 0.000 0.471
Rb 11.181 0.000 7.153
Tb -1.651 0.000 3.812
Hg 3.508 0.000 3.626
Hg 9.518 0.000 3.998
S 0.588 0.000 5.514
S 5.434 0.000 5.428
S 7.592 0.000 2.197
S 12.438 0.000 2.110
```

# 6
This record from Alexandria via LeMat-Bulk describes a geometry-optimized Rb2HgTeS4 structure. The functional is GGA-PBE.

Structure (extended XYZ):
```
16
Lattice="5.730 -6.272 0.000 5.730 6.272 0.000 -5.002 0.000 6.477" Properties=species:S:1:pos:R:3 pbc="T T T"
Rb 0.000 0.000 0.000
Rb -2.501 0.000 3.239
Rb 2.865 3.136 0.000
Rb 0.364 -3.136 3.239
Hg 0.364 3.136 3.239
Hg 2.865 -3.136 0.000
Te 5.730 0.000 0.000
Te 3.228 0.000 3.239
S 2.795 2.788 3.192
S 0.587 0.004 3.742
S 3.088 -0.004 0.503
S 6.163 2.788 0.047
S 0.293 -2.788 6.430
S 3.369 0.004 5.974
S 5.870 -0.004 2.736
S 3.662 -2.788 3.286
```

# 7
This record from Alexandria via LeMat-Bulk describes a geometry-optimized Rb2Hg2Te2S structure. The functional is GGA-PBE.

Structure (extended XYZ):
```
7
Lattice="7.608 -2.346 0.000 7.608 2.346 0.000 -4.960 0.000 7.323" Properties=species:S:1:pos:R:3 pbc="T T T"
Rb -0.670 0.000 2.187
Rb 10.926 0.000 5.136
Hg 0.181 0.000 6.630
Hg 10.075 0.000 0.693
Te 3.523 0.000 1.973
Te 6.734 0.000 5.349
S 7.608 0.000 0.000
```

# 8
This record from Alexandria via LeMat-Bulk describes a geometry-optimized RbHg2TeS2 structure. The functional is GGA-PBE.

Structure (extended XYZ):
```
12
Lattice="8.586 0.000 0.000 0.000 4.770 0.000 -1.384 0.000 9.980" Properties=species:S:1:pos:R:3 pbc="T T T"
Rb 1.122 1.192 3.812
Rb 6.080 3.577 6.168
Hg 0.895 1.192 0.198
Hg 2.576 3.577 8.320
Hg 4.627 1.192 1.660
Hg 6.307 3.577 9.781
Te 2.958 3.577 1.358
Te 4.245 1.192 8.621
S 0.521 0.189 6.948
S 0.521 2.196 6.948
S 6.682 2.574 3.032
S 6.682 4.581 3.032
```

# 9
This record from Alexandria via LeMat-Bulk describes a geometry-optimized Rb2ThHgS4 structure. The functional is GGA-PBE.

Structure (extended XYZ):
```
8
Lattice="7.450 0.000 0.000 0.000 4.145 0.000 -2.915 0.000 7.669" Properties=species:S:1:pos:R:3 pbc="T T T"
Rb 0.000 0.000 0.000
Rb 3.725 2.072 0.000
Th -1.457 2.072 3.835
Hg 2.268 0.000 3.835
S -0.564 0.000 5.469
S 1.061 2.072 2.480
S 3.475 2.072 5.189
S 5.099 0.000 2.200
```

# 10
This record from Alexandria via LeMat-Bulk describes a geometry-optimized RbTiHg2S4 structure. The functional is GGA-PBE.

Structure (extended XYZ):
```
8
Lattice="0.000 4.983 4.451 4.974 0.000 4.451 4.974 4.983 0.000" Properties=species:S:1:pos:R:3 pbc="T T T"
Rb 0.000 0.000 0.000
Ti 4.974 4.983 4.448
Hg 2.487 2.492 2.247
Hg 7.461 7.475 6.698
S 6.867 4.983 3.147
S 4.974 3.089 5.738
S 3.081 4.983 3.147
S 4.974 6.877 5.738
```

# 11
This record from Alexandria via LeMat-Bulk describes a geometry-optimized RbTl2HgS structure. The functional is GGA-PBE.

Structure (extended XYZ):
```
5
Lattice="6.633 0.000 0.000 0.000 6.633 0.000 0.000 0.000 5.782" Properties=species:S:1:pos:R:3 pbc="T T T"
Rb 0.000 0.000 0.000
Tl 0.000 3.316 0.000
Tl 3.316 0.000 0.000
Hg 3.316 3.316 2.891
S 0.000 0.000 2.891
```

# 12
This record from Alexandria via LeMat-Bulk describes a geometry-optimized RbTlHgS structure. The functional is GGA-PBE.

Structure (extended XYZ):
```
4
Lattice="0.000 3.958 3.958 3.958 0.000 3.958 3.958 3.958 0.000" Properties=species:S:1:pos:R:3 pbc="T T T"
Rb 0.000 0.000 0.000
Tl 3.958 3.958 3.958
Hg 1.979 1.979 1.979
S 5.936 5.936 5.936
```

Asked for spin magnetization across the records above, the calculation gives 0.0000, 0.0000, 0.0906, 0.0000, 0.0000, 0.0000, 0.0000, 0.0001, 0.0000, 0.0000, 0.0000, 0.0000 μB/atom in order.
Asked for energy relative to the elements, uncorrected across the records above, the calculation gives -1.23, -0.53, -0.33, -0.41, -0.99, -0.43, -0.60, -0.24, -1.23, -0.68, 0.42, -0.40 eV per atom in order.